1.
Here is Tb2Si4PdPt3 after structural relaxation from Alexandria via LeMat-Bulk. Energies are from PBE.

Calculated values
formation energy (no corrections)	-104.1	kJ per mole of atoms
symmetry	P-4m2 (115)

Cell lengths 4.2090, 4.2090, 9.8451 Å; angles 90.00, 90.00, 90.00 degrees
Last column: nearest neighbours and their distance in Å.
Positions (direct):
Tb1 0.0000 0.5000 0.2469  8 Si 3.20-3.22, 6 Pt 3.21-3.26, 2 Pd 3.26
Tb2 0.5000 0.0000 0.7531  8 Si 3.20-3.22, 6 Pt 3.21-3.26, 2 Pd 3.26
Si1 0.0000 0.0000 0.0000  4 Pt 2.43
Si2 0.0000 0.5000 0.6331  3 Pt 2.40-2.48, 2 Pd 2.48
Si3 0.5000 0.0000 0.3669  3 Pt 2.40-2.48, 2 Pd 2.48
Si4 0.5000 0.5000 0.0000  4 Pt 2.43
Pd1 0.0000 0.0000 0.5000  4 Si 2.48
Pt1 0.0000 0.5000 0.8765  5 Si 2.40-2.43
Pt2 0.5000 0.0000 0.1235  5 Si 2.40-2.43
Pt3 0.5000 0.5000 0.5000  4 Si 2.48

***

2.
Here is SiNi2Te after structural relaxation from Alexandria via LeMat-Bulk. Energies are from PBE.

Calculated values
formation energy (no corrections)	-2.4	kJ per mole of atoms
excess energy over the best structure of this formula in the dataset	191	meV per atom
symmetry	I-42d (122)

Cell lengths 4.3305, 4.3305, 14.6067 Å; angles 90.00, 90.00, 90.00 degrees
Last column: nearest neighbours and their distance in Å.
Positions (direct):
Si1 0.0000 0.0000 0.0000  4 Ni 2.26
Si2 0.0000 0.5000 0.2500  4 Ni 2.26
Si3 0.5000 0.0000 0.7500  4 Ni 2.26
Si4 0.5000 0.5000 0.5000  4 Ni 2.26
Ni1 0.1801 0.2500 0.1250  2 Si 2.26
Ni2 0.2500 0.6801 0.3750  2 Si 2.26
Ni3 0.2500 0.8199 0.8750  2 Si 2.26
Ni4 0.3199 0.2500 0.6250  2 Si 2.26
Ni5 0.6801 0.7500 0.6250  2 Si 2.26
Ni6 0.7500 0.1801 0.8750  2 Si 2.26
Ni7 0.7500 0.3199 0.3750  2 Si 2.26
Ni8 0.8199 0.7500 0.1250  2 Si 2.26
Te1 0.0000 0.0000 0.5000  4 Ni 2.53
Te2 0.0000 0.5000 0.7500  4 Ni 2.53
Te3 0.5000 0.0000 0.2500  4 Ni 2.53
Te4 0.5000 0.5000 0.0000  4 Ni 2.53

***

3.
Here is Sc2Mn2Pd after structural relaxation from Alexandria via LeMat-Bulk. Energies are from PBE.

Calculated values
electronic total energy	-7.380	eV per atom
symmetry	P4/mbm (127)

Cell lengths 6.4459, 6.4459, 4.0216 Å; angles 90.00, 90.00, 90.00 degrees
Last column: nearest neighbours and their distance in Å.
Positions (direct):
Sc1 0.1808 0.3192 0.0000  6 Mn 2.75-2.80
Sc2 0.3192 0.8192 0.0000  6 Mn 2.75-2.80
Sc3 0.6808 0.1808 0.0000  6 Mn 2.75-2.80
Sc4 0.8192 0.6808 0.0000  6 Mn 2.75-2.80
Mn1 0.1136 0.6136 0.5000  1 Mn 2.07
Mn2 0.3864 0.1136 0.5000  1 Mn 2.07
Mn3 0.6136 0.8864 0.5000  1 Mn 2.07
Mn4 0.8864 0.3864 0.5000  1 Mn 2.07
Pd1 0.0000 0.0000 0.5000  4 Mn 2.60
Pd2 0.5000 0.5000 0.5000  4 Mn 2.60

***

4.
Here is SmGe3Pt5 after structural relaxation from Alexandria via LeMat-Bulk. Energies are from PBE.

Calculated values
electronic total energy	-6.052	eV per atom
symmetry	Cmcm (63)

Cell lengths 6.7357, 6.7357, 13.7163 Å; angles 90.00, 90.00, 147.54 degrees
Last column: nearest neighbours and their distance in Å.
Positions (direct):
Sm1 0.1650 0.8350 0.7500  8 Pt 3.25-3.36, 7 Ge 3.36-3.64
Sm2 0.8350 0.1650 0.2500  8 Pt 3.25-3.36, 7 Ge 3.36-3.64
Ge1 0.0945 0.9055 0.2500  6 Pt 2.48-2.55
Ge2 0.3668 0.6332 0.0271  6 Pt 2.42-2.65
Ge3 0.3668 0.6332 0.4729  6 Pt 2.42-2.65
Ge4 0.6332 0.3668 0.5271  6 Pt 2.42-2.65
Ge5 0.6332 0.3668 0.9729  6 Pt 2.42-2.65
Ge6 0.9055 0.0945 0.7500  6 Pt 2.48-2.55
Pt1 0.0000 0.0000 0.0000  4 Ge 2.58, 6 Pt 2.81-2.84
Pt2 0.0000 0.0000 0.5000  4 Ge 2.58, 6 Pt 2.81-2.84
Pt3 0.1949 0.8051 0.0960  4 Ge 2.42-2.65
Pt4 0.1949 0.8051 0.4040  4 Ge 2.42-2.65
Pt5 0.4883 0.5117 0.6516  3 Ge 2.54-2.55, 3 Pt 2.70-2.81
Pt6 0.4883 0.5117 0.8484  3 Ge 2.54-2.55, 3 Pt 2.70-2.81
Pt7 0.5117 0.4883 0.1516  3 Ge 2.54-2.55, 3 Pt 2.70-2.81
Pt8 0.5117 0.4883 0.3484  3 Ge 2.54-2.55, 3 Pt 2.70-2.81
Pt9 0.8051 0.1949 0.5960  4 Ge 2.42-2.65
Pt10 0.8051 0.1949 0.9040  4 Ge 2.42-2.65

***

5.
Here is KNa2Sr after structural relaxation from Alexandria via LeMat-Bulk. Energies are from PBE.

Calculated values
excess energy over the best structure of this formula in the dataset	36	meV per atom
symmetry	Fm-3m (225)

Cell lengths 9.2297, 9.2297, 9.2297 Å; angles 90.00, 90.00, 90.00 degrees
Last column: nearest neighbours and their distance in Å.
Positions (direct):
K1 0.0000 0.0000 0.0000  8 Na 4.00
K2 0.0000 0.5000 0.5000  8 Na 4.00
K3 0.5000 0.0000 0.5000  8 Na 4.00
K4 0.5000 0.5000 0.0000  8 Na 4.00
Na1 0.2500 0.2500 0.2500  4 K 4.00, 4 Sr 4.00
Na2 0.2500 0.2500 0.7500  4 K 4.00, 4 Sr 4.00
Na3 0.2500 0.7500 0.2500  4 K 4.00, 4 Sr 4.00
Na4 0.2500 0.7500 0.7500  4 K 4.00, 4 Sr 4.00
Na5 0.7500 0.2500 0.2500  4 K 4.00, 4 Sr 4.00
Na6 0.7500 0.2500 0.7500  4 K 4.00, 4 Sr 4.00
Na7 0.7500 0.7500 0.2500  4 K 4.00, 4 Sr 4.00
Na8 0.7500 0.7500 0.7500  4 K 4.00, 4 Sr 4.00
Sr1 0.0000 0.0000 0.5000  8 Na 4.00
Sr2 0.0000 0.5000 0.0000  8 Na 4.00
Sr3 0.5000 0.0000 0.0000  8 Na 4.00
Sr4 0.5000 0.5000 0.5000  8 Na 4.00

***

6.
Here is TbSm3Os after structural relaxation from Alexandria via LeMat-Bulk. Energies are from PBE.

Calculated values
excess energy over the best structure of this formula in the dataset	228	meV per atom
symmetry	Pm-3m (221)

Cell lengths 5.5357, 5.5357, 5.5357 Å; angles 90.00, 90.00, 90.00 degrees
Last column: nearest neighbours and their distance in Å.
Positions (direct):
Tb1 0.0000 0.0000 0.0000  12 Sm 3.91
Sm1 0.0000 0.5000 0.5000  2 Os 2.77
Sm2 0.5000 0.0000 0.5000  2 Os 2.77
Sm3 0.5000 0.5000 0.0000  2 Os 2.77
Os1 0.5000 0.5000 0.5000  6 Sm 2.77

***

7.
Here is Er2ThPt after structural relaxation from Alexandria via LeMat-Bulk. Energies are from PBE.

Calculated values
excess energy over the best structure of this formula in the dataset	0	meV per atom
symmetry	Pnma (62)

Cell lengths 7.0184, 9.7272, 6.5060 Å; angles 90.00, 90.00, 90.00 degrees
Last column: nearest neighbours and their distance in Å.
Positions (direct):
Er1 0.1838 0.0620 0.1657  2 Pt 2.87
Er2 0.1838 0.4380 0.1657  2 Pt 2.87
Er3 0.3162 0.5620 0.6657  2 Pt 2.87
Er4 0.3162 0.9380 0.6657  2 Pt 2.87
Er5 0.6838 0.0620 0.3343  2 Pt 2.87
Er6 0.6838 0.4380 0.3343  2 Pt 2.87
Er7 0.8162 0.5620 0.8343  2 Pt 2.87
Er8 0.8162 0.9380 0.8343  2 Pt 2.87
Th1 0.0264 0.2500 0.6461  2 Pt 2.85-2.93
Th2 0.4736 0.7500 0.1461  2 Pt 2.85-2.93
Th3 0.5264 0.2500 0.8539  2 Pt 2.85-2.93
Th4 0.9736 0.7500 0.3539  2 Pt 2.85-2.93
Pt1 0.1189 0.7500 0.9317  2 Th 2.85-2.93, 4 Er 2.87
Pt2 0.3811 0.2500 0.4317  2 Th 2.85-2.93, 4 Er 2.87
Pt3 0.6189 0.7500 0.5683  2 Th 2.85-2.93, 4 Er 2.87
Pt4 0.8811 0.2500 0.0683  2 Th 2.85-2.93, 4 Er 2.87

***

8.
Here is Ti3InSi after structural relaxation from Alexandria via LeMat-Bulk. Energies are from PBE.

Calculated values
formation energy (no corrections)	118.9	kJ per mole of atoms
excess energy over the best structure of this formula in the dataset	1204	meV per atom
symmetry	Pm-3m (221)

Cell lengths 4.9401, 4.9401, 4.9401 Å; angles 90.00, 90.00, 90.00 degrees
Last column: nearest neighbours and their distance in Å.
Positions (direct):
Ti1 0.0000 0.0000 0.5000  2 In 2.47
Ti2 0.0000 0.5000 0.0000  2 In 2.47
Ti3 0.5000 0.0000 0.0000  2 In 2.47
In1 0.0000 0.0000 0.0000  6 Ti 2.47
Si1 0.5000 0.5000 0.5000  12 Ti 3.49

***

9.
Here is Na4Pd after structural relaxation from Alexandria via LeMat-Bulk. Energies are from PBE.

Calculated values
excess energy over the best structure of this formula in the dataset	0	meV per atom
symmetry	Ibam (72)

Cell lengths 8.5121, 8.5121, 8.5121 Å; angles 127.89, 66.69, 141.40 degrees
Last column: nearest neighbours and their distance in Å.
Positions (direct):
Na1 0.0757 0.6815 0.7572  2 Pd 2.97
Na2 0.1705 0.1382 0.3087  2 Pd 2.99
Na3 0.3295 0.6382 0.9676  2 Pd 2.99
Na4 0.4243 0.1815 0.6057  2 Pd 2.97
Na5 0.5757 0.8185 0.3943  2 Pd 2.97
Na6 0.6705 0.3618 0.0324  2 Pd 2.99
Na7 0.8295 0.8618 0.6913  2 Pd 2.99
Na8 0.9243 0.3185 0.2428  2 Pd 2.97
Pd1 0.2500 0.2500 0.0000  2 Pd 2.81, 8 Na 2.97-2.99
Pd2 0.7500 0.7500 0.0000  2 Pd 2.81, 8 Na 2.97-2.99

***

10.
Here is NbCd3Pt after structural relaxation from Alexandria via LeMat-Bulk. Energies are from PBE.

Calculated values
excess energy over the best structure of this formula in the dataset	773	meV per atom
symmetry	Pm-3m (221)

Cell lengths 5.3135, 5.3135, 5.3135 Å; angles 90.00, 90.00, 90.00 degrees
Last column: nearest neighbours and their distance in Å.
Positions (direct):
Nb1 0.0000 0.0000 0.0000  6 Cd 2.66
Cd1 0.0000 0.0000 0.5000  2 Nb 2.66
Cd2 0.0000 0.5000 0.0000  2 Nb 2.66
Cd3 0.5000 0.0000 0.0000  2 Nb 2.66
Pt1 0.5000 0.5000 0.5000  12 Cd 3.76

***

11.
Here is HoTm4Co after structural relaxation from Alexandria via LeMat-Bulk. Energies are from PBE.

Calculated values
electronic total energy	-4.987	eV per atom
symmetry	Immm (71)

Cell lengths 9.1115, 9.1115, 9.1115 Å; angles 143.47, 133.26, 60.73 degrees
Last column: nearest neighbours and their distance in Å.
Positions (direct):
Ho1 0.1970 0.1970 0.0000  12 Tm 3.43-3.63
Ho2 0.8030 0.8030 0.0000  12 Tm 3.43-3.63
Tm1 0.1276 0.3812 0.7464  2 Co 2.85
Tm2 0.2248 0.0000 0.2248  2 Co 2.63
Tm3 0.3273 0.8273 0.5000  2 Co 3.21, 6 Tm 3.37-3.50, 2 Ho 3.51
Tm4 0.3652 0.6188 0.7464  2 Co 2.85
Tm5 0.6348 0.3812 0.2536  2 Co 2.85
Tm6 0.6727 0.1727 0.5000  2 Co 3.21, 6 Tm 3.37-3.50, 2 Ho 3.51
Tm7 0.7752 0.0000 0.7752  2 Co 2.63
Tm8 0.8724 0.6188 0.2536  2 Co 2.85
Co1 0.5000 0.3003 0.8003  1 Co 2.28
Co2 0.5000 0.6997 0.1997  1 Co 2.28

***

12.
Here is Tl2InHg4Au2 after structural relaxation from Alexandria via LeMat-Bulk. Energies are from PBE.

Calculated values
electronic total energy	-1.707	eV per atom
symmetry	P-1 (2)

Cell lengths 6.5137, 6.6086, 6.6606 Å; angles 64.67, 89.30, 69.05 degrees
Last column: nearest neighbours and their distance in Å.
Positions (direct):
Tl1 0.2365 0.0152 0.1164  2 Au 3.04-3.18, 3 Hg 3.30-3.38
Tl2 0.7635 0.9848 0.8836  2 Au 3.04-3.18, 3 Hg 3.30-3.38
In1 0.5000 0.5000 0.0000  2 Au 2.79, 4 Hg 3.09-3.12
Hg1 0.2518 0.0158 0.6116  1 Au 3.00, 1 In 3.09, 1 Hg 3.25, 1 Tl 3.30
Hg2 0.2717 0.5114 0.5846  2 Au 2.92-2.94, 1 In 3.12, 2 Hg 3.14-3.25
Hg3 0.7283 0.4886 0.4154  2 Au 2.92-2.94, 1 In 3.12, 2 Hg 3.14-3.25
Hg4 0.7482 0.9842 0.3884  1 Au 3.00, 1 In 3.09, 1 Hg 3.25, 1 Tl 3.30
Au1 0.1181 0.4864 0.1893  1 In 2.79, 1 Au 2.88, 3 Hg 2.92-3.00, 1 Tl 3.04
Au2 0.8819 0.5136 0.8107  1 In 2.79, 1 Au 2.88, 3 Hg 2.92-3.00, 1 Tl 3.04